1.
This record from Alexandria via LeMat-Bulk describes a geometry-optimized Tb8Ga2Ag structure. The functional is PBE.

Output
Space group: C2/m, No. 12
E_tot (eV/atom): -4.41

Cell: 9.4649 9.4649 6.7783 Å, 101.21 101.21 30.89°
Atoms (fractional coordinates):
Tb1 0.0263 0.0263 0.2631
Tb2 0.2034 0.2034 0.8114
Tb3 0.3392 0.3392 0.5336
Tb4 0.4077 0.4077 0.0382
Tb5 0.5923 0.5923 0.9618
Tb6 0.6608 0.6608 0.4664
Tb7 0.7966 0.7966 0.1886
Tb8 0.9737 0.9737 0.7369
Ga1 0.1920 0.1920 0.2465
Ga2 0.8080 0.8080 0.7535
Ag1 0.5000 0.5000 0.5000

***

2.
This record from Alexandria via LeMat-Bulk describes a geometry-optimized LaNbAg3 structure. The functional is PBE.

Output
Space group: Pm-3m, No. 221
E_tot (eV/atom): -3.07

Cell: 5.2683 5.2683 5.2683 Å, 90.00 90.00 90.00°
Atoms (fractional coordinates):
La1 0.0000 0.0000 0.0000
Nb1 0.5000 0.5000 0.5000
Ag1 0.0000 0.0000 0.5000
Ag2 0.0000 0.5000 0.0000
Ag3 0.5000 0.0000 0.0000

***

3.
This record from Alexandria via LeMat-Bulk describes a geometry-optimized Si2Tc2Ir structure. The functional is PBE.

Output
Space group: P4/mbm, No. 127
Uncorrected formation energy (meV per atom): -232

Cell: 6.8317 6.8317 2.9284 Å, 90.00 90.00 90.00°
Atoms (fractional coordinates):
Si1 0.1392 0.3608 0.0000
Si2 0.3608 0.8608 0.0000
Si3 0.6392 0.1392 0.0000
Si4 0.8608 0.6392 0.0000
Tc1 0.1589 0.6589 0.5000
Tc2 0.3411 0.1589 0.5000
Tc3 0.6589 0.8411 0.5000
Tc4 0.8411 0.3411 0.5000
Ir1 0.0000 0.0000 0.0000
Ir2 0.5000 0.5000 0.0000

***

4.
This record from Alexandria via LeMat-Bulk describes a geometry-optimized Pa2TcGe3 structure. The functional is PBE.

Output
Space group: Cmcm, No. 63
E_tot (eV/atom): -7.44

Cell: 6.9122 6.9122 5.5192 Å, 90.00 90.00 72.73°
Atoms (fractional coordinates):
Pa1 0.0684 0.6846 0.7500
Pa2 0.3154 0.9316 0.7500
Pa3 0.6846 0.0684 0.2500
Pa4 0.9316 0.3154 0.2500
Tc1 0.4375 0.5625 0.2500
Tc2 0.5625 0.4375 0.7500
Ge1 0.1353 0.8647 0.2500
Ge2 0.3135 0.3135 0.0000
Ge3 0.3135 0.3135 0.5000
Ge4 0.6865 0.6865 0.0000
Ge5 0.6865 0.6865 0.5000
Ge6 0.8647 0.1353 0.7500

***

5.
This record from Alexandria via LeMat-Bulk describes a geometry-optimized MoC5 structure. The functional is PBE.

Output
Space group: P6/mmm, No. 191
E_tot (eV/atom): -6.61

Cell: 4.5758 4.5758 2.4906 Å, 90.00 90.00 120.00°
Atoms (fractional coordinates):
Mo1 0.0000 0.0000 0.0000
C1 0.0000 0.5000 0.5000
C2 0.3333 0.6667 0.0000
C3 0.5000 0.0000 0.5000
C4 0.5000 0.5000 0.5000
C5 0.6667 0.3333 0.0000

***

6.
This record from Alexandria via LeMat-Bulk describes a geometry-optimized VCrBr structure. The functional is PBE.

Output
Space group: P2_1/m, No. 11
Uncorrected formation energy (meV per atom): -72

Cell: 3.9178 3.1385 9.6107 Å, 90.00 92.50 90.00°
Atoms (fractional coordinates):
V1 0.0157 0.2500 0.1237
V2 0.9843 0.7500 0.8763
Cr1 0.4904 0.2500 0.9149
Cr2 0.5096 0.7500 0.0851
Br1 0.2137 0.7500 0.3183
Br2 0.7863 0.2500 0.6817